Compound: CaCdHgSb
Source: Alexandria via LeMat-Bulk
Functional: PBE-GGA
Structure: optimized geometry

Values from the calculation:
* E: -8.84 eV/f.u.
* SG: No. 216
* E_form (uncorrected): -376 meV/atom

abc: 5.3576 5.3576 5.3576
angles: 60.00 60.00 60.00
Closest atoms and distances in Å follow each position.
Atoms (fractional coordinates):
Hg  0.2500  0.2500  0.2500  4 Cd 3.28, 4 Ca 3.28
Sb  0.7500  0.7500  0.7500  4 Cd 3.28, 4 Ca 3.28
Cd  0.0000  0.0000  0.0000  4 Sb 3.28, 4 Hg 3.28
Ca  0.5000  0.5000  0.5000  4 Hg 3.28, 4 Sb 3.28